Entry from the Alexandria database: a geometry-optimized CuNiOs2 structure (GGA-PBE).

Calculated values
The formation energy from the elements is 94 kJ per mole of atoms. Its energy above the lowest structure with this stoichiometry is 805 meV per atom. The calculation puts the density of states at the Fermi level at 26.07 states/eV per cell.

a = 7.2305 Å, b = 7.2305 Å, c = 4.6114 Å
α = 90.00°, β = 90.00°, γ = 90.00°
Last column: nearest neighbours and their distance in Å.
Positions (direct):
Cu1 0.0000 0.0000 0.0000  2 Ni 2.31
Cu2 0.0000 0.5000 0.2500  2 Ni 2.31
Cu3 0.5000 0.0000 0.7500  2 Ni 2.31
Cu4 0.5000 0.5000 0.5000  2 Ni 2.31
Ni1 0.0000 0.0000 0.5000  2 Cu 2.31, 4 Os 2.33
Ni2 0.0000 0.5000 0.7500  2 Cu 2.31, 4 Os 2.33
Ni3 0.5000 0.0000 0.2500  2 Cu 2.31, 4 Os 2.33
Ni4 0.5000 0.5000 0.0000  2 Cu 2.31, 4 Os 2.33
Os1 0.1873 0.2500 0.6250  2 Ni 2.33, 2 Os 2.48
Os2 0.2500 0.6873 0.8750  2 Ni 2.33, 2 Os 2.48
Os3 0.2500 0.8127 0.3750  2 Ni 2.33, 2 Os 2.48
Os4 0.3127 0.2500 0.1250  2 Ni 2.33, 2 Os 2.48
Os5 0.6873 0.7500 0.1250  2 Ni 2.33, 2 Os 2.48
Os6 0.7500 0.1873 0.3750  2 Ni 2.33, 2 Os 2.48
Os7 0.7500 0.3127 0.8750  2 Ni 2.33, 2 Os 2.48
Os8 0.8127 0.7500 0.6250  2 Ni 2.33, 2 Os 2.48